No. 1
Here is a geometry-optimized ScBeSb structure from Alexandria. Energies are from PBE.

Cell: 4.0635 4.0635 3.8848 Å, 90.00 90.00 120.00°
Fractional coordinates of all 3 atoms:
Sc (0.0000, 0.0000, 0.0000)
Be (0.6667, 0.3333, 0.4271)
Sb (0.3333, 0.6667, 0.5123)

No. 2
Here is a geometry-optimized ScBeSb structure from Alexandria. Energies are from PBE.

Cell: 4.5915 4.5915 4.5915 Å, 60.00 60.00 60.00°
Fractional coordinates of all 3 atoms:
Sc (0.0000, 0.0000, 0.0000)
Be (0.7500, 0.7500, 0.7500)
Sb (0.2500, 0.2500, 0.2500)

No. 3
Here is a geometry-optimized ScBeSb2 structure from Alexandria. Energies are from PBE.

Cell: 3.2786 4.1605 7.2694 Å, 90.00 102.99 90.00°
Fractional coordinates of all 4 atoms:
Sc (0.0000, 0.0000, 0.0000)
Be (0.5799, 0.5000, 0.1637)
Sb (0.4017, 0.5000, 0.8045)
Sb (0.6813, 0.0000, 0.3628)

No. 4
Here is a geometry-optimized ScBeSb2 structure from Alexandria. Energies are from PBE.

Cell: 6.1371 6.1371 6.1371 Å, 108.36 108.36 111.72°
Fractional coordinates of all 8 atoms:
Sc (0.0000, 0.0000, 0.0000)
Sc (0.7500, 0.2500, 0.5000)
Be (0.2500, 0.7500, 0.5000)
Be (0.5000, 0.5000, 0.0000)
Sb (0.1829, 0.6250, 0.0579)
Sb (0.3750, 0.4329, 0.5579)
Sb (0.5671, 0.1250, 0.9421)
Sb (0.8750, 0.8171, 0.4421)

No. 5
Here is a geometry-optimized ScBe2Sb structure from Alexandria. Energies are from PBE.

Cell: 3.2236 3.2236 6.3401 Å, 90.00 90.00 90.00°
Fractional coordinates of all 4 atoms:
Sc (0.0000, 0.0000, 0.0000)
Be (0.0000, 0.0000, 0.4109)
Be (0.5000, 0.5000, 0.2820)
Sb (0.5000, 0.5000, 0.6785)

No. 6
Here is a geometry-optimized ScBeSb2 structure from Alexandria. Energies are from PBE.

Cell: 3.1388 3.1388 9.3511 Å, 90.00 90.00 90.00°
Fractional coordinates of all 4 atoms:
Sc (0.0000, 0.0000, 0.0000)
Be (0.5000, 0.5000, 0.1826)
Sb (0.0000, 0.0000, 0.3546)
Sb (0.5000, 0.5000, 0.7524)

Number 1: size of the total moment 0.00 μB/atom, raw formation energy -0.378 eV per atom. Number 2: size of the total moment 0.00 μB/atom, raw formation energy 0.154 eV per atom. Number 3: size of the total moment 0.00 μB/atom, raw formation energy -0.239 eV per atom. Number 4: size of the total moment 0.00 μB/atom, raw formation energy -0.194 eV per atom. Number 5: size of the total moment 0.09 μB/atom, raw formation energy 0.160 eV per atom. Number 6: size of the total moment 0.08 μB/atom, raw formation energy -0.004 eV per atom.